No. 1
Density functional theory data (PBE) for crystalline RbTl2InPd at its relaxed geometry.

```
RbTl2InPd
1.0
5.512 0.000 0.000
0.000 5.512 0.000
0.000 0.000 5.356
Rb Tl In Pd
1 2 1 1
Cartesian
0.000 0.000 0.000
0.000 2.756 2.678
2.756 0.000 2.678
2.756 2.756 0.000
2.756 2.756 2.678
```

Calculated values
- VASP energy: -14.13 eV per cell
- DOS at the Fermi energy: 0.628 states/eV per atom
- Energy of formation: -100 meV/atom


No. 2
Density functional theory data (PBE) for crystalline MoPRh2 at its relaxed geometry.

```
MoPRh2
1.0
2.822 0.000 0.000
0.000 2.822 0.000
0.000 0.000 7.021
Mo P Rh
1 1 2
Cartesian
0.000 0.000 0.000
0.000 0.000 3.511
1.411 1.411 2.047
1.411 1.411 4.974
```

Calculated values
- VASP energy: -31.82 eV per cell
- DOS at the Fermi energy: 1.167 states/eV per atom
- Energy of formation: -219 meV/atom


No. 3
Density functional theory data (PBE) for crystalline TaPPtRhAuI at its relaxed geometry.

```
TaPPtRhAuI
1.0
5.783 -1.891 0.000
5.783 1.891 0.000
-0.638 0.000 5.454
Ta P Pt Rh Au I
1 1 1 1 1 1
Cartesian
0.000 0.000 0.000
4.903 0.000 3.824
10.357 0.000 2.431
4.071 0.000 0.388
7.329 0.000 4.698
1.906 0.000 1.947
```

Calculated values
- VASP energy: -36.31 eV per cell
- DOS at the Fermi energy: 0.341 states/eV per atom


No. 4
Density functional theory data (PBE) for crystalline RbBaH at its relaxed geometry.

```
RbBaH
1.0
3.950 -2.273 0.000
3.950 2.273 0.000
-2.230 0.000 15.984
Rb Ba H
2 2 2
Cartesian
0.071 0.000 5.844
5.599 0.000 10.141
2.630 0.000 1.623
3.041 0.000 14.362
0.412 0.000 14.978
5.259 0.000 1.006
```

Calculated values
- VASP energy: -13.67 eV per cell
- DOS at the Fermi energy: 0.653 states/eV per atom


No. 5
Density functional theory data (PBE) for crystalline SiTeCl2 at its relaxed geometry.

```
SiTeCl2
1.0
3.518 0.000 0.000
0.000 3.518 0.000
0.000 0.000 8.416
Si Te Cl
1 1 2
Cartesian
0.000 0.000 0.000
1.759 1.759 1.800
0.000 0.000 3.515
1.759 1.759 7.014
```

Calculated values
- VASP energy: -11.62 eV per cell
- DOS at the Fermi energy: 0.617 states/eV per atom


No. 6
Density functional theory data (PBE) for crystalline Pa3MnTc2Ge3 at its relaxed geometry.

```
Pa3MnTc2Ge3
1.0
7.000 0.000 0.000
-3.500 6.062 0.000
0.000 0.000 3.926
Pa Mn Tc Ge
3 1 2 3
Cartesian
-1.434 2.484 0.000
2.868 0.000 0.000
2.066 3.578 0.000
0.000 0.000 0.000
0.000 4.041 1.963
3.500 2.021 1.963
-2.667 4.620 1.963
0.833 1.442 1.963
5.334 0.000 1.963
```

Calculated values
- VASP energy: -76.39 eV per cell
- DOS at the Fermi energy: 1.049 states/eV per atom
- Energy of formation: -461 meV/atom


No. 7
Density functional theory data (PBE) for crystalline LaCd8Rh4 at its relaxed geometry.

```
LaCd8Rh4
1.0
-4.714 4.714 2.933
4.714 -4.714 2.933
4.714 4.714 -2.933
La Cd Rh
1 8 4
Cartesian
0.000 0.000 0.000
3.173 0.000 0.000
6.255 0.000 0.000
4.714 2.604 0.000
0.000 3.173 0.000
2.604 4.714 0.000
2.111 0.000 2.933
0.000 6.255 0.000
0.000 2.111 2.933
2.357 2.357 -1.467
2.357 -2.357 1.467
-2.357 2.357 1.467
2.357 2.357 1.467
```

Calculated values
- VASP energy: -44.74 eV per cell
- DOS at the Fermi energy: 0.496 states/eV per atom
- Energy of formation: -237 meV/atom


No. 8
Density functional theory data (PBE) for crystalline YAl2Au10 at its relaxed geometry.

```
YAl2Au10
1.0
0.000 6.558 6.713
2.810 0.000 6.713
2.810 6.558 0.000
Y Al Au
1 2 10
Cartesian
0.000 0.000 0.000
1.405 0.000 3.356
1.405 6.558 3.356
1.405 3.279 0.000
2.810 4.542 2.282
2.810 5.175 5.192
2.810 8.575 2.282
2.810 7.942 5.192
1.405 3.279 6.713
2.810 5.175 8.233
2.810 4.542 11.143
2.810 7.942 8.233
2.810 8.575 11.143
```

Calculated values
- VASP energy: -51.06 eV per cell
- DOS at the Fermi energy: 0.376 states/eV per atom
- Energy of formation: -334 meV/atom


No. 9
Density functional theory data (PBE) for crystalline NaPaHg2 at its relaxed geometry.

```
NaPaHg2
1.0
1.607 0.928 11.744
-1.607 0.928 11.744
0.000 -1.856 11.744
Na Pa Hg
1 1 2
Cartesian
0.000 0.000 0.000
0.000 0.000 17.616
0.000 0.000 14.397
0.000 0.000 20.834
```

Calculated values
- VASP energy: -10.71 eV per cell
- DOS at the Fermi energy: 1.351 states/eV per atom
- Energy of formation: 176 meV/atom


No. 10
Density functional theory data (PBE) for crystalline CdCo2As at its relaxed geometry.

```
CdCo2As
1.0
3.360 -1.466 0.000
3.360 1.466 0.000
-1.279 0.000 6.198
Cd Co As
1 2 1
Cartesian
0.000 0.000 0.000
0.752 0.000 4.239
4.688 0.000 1.959
2.720 0.000 3.099
```

Calculated values
- VASP energy: -19.14 eV per cell
- DOS at the Fermi energy: 0.869 states/eV per atom
- Energy of formation: 159 meV/atom


No. 11
Density functional theory data (PBE) for crystalline YMnMo2 at its relaxed geometry.

```
YMnMo2
1.0
1.561 0.901 8.849
-1.561 0.901 8.849
0.000 -1.803 8.849
Y Mn Mo
1 1 2
Cartesian
0.000 0.000 0.000
0.000 0.000 6.333
0.000 0.000 13.235
0.000 0.000 20.211
```

Calculated values
- VASP energy: -35.24 eV per cell
- DOS at the Fermi energy: 1.031 states/eV per atom
- Energy of formation: 513 meV/atom


No. 12
Density functional theory data (PBE) for crystalline K4TiTe4 at its relaxed geometry.

```
K4TiTe4
1.0
-4.099 4.099 6.922
4.099 -4.099 6.922
4.099 4.099 -6.922
K Ti Te
4 1 4
Cartesian
4.099 0.000 0.000
0.000 0.000 2.702
0.000 4.099 0.000
0.000 0.000 11.141
0.000 0.000 6.922
2.576 2.576 -1.547
1.523 -1.523 8.469
1.523 1.523 5.375
-1.523 1.523 8.469
```

Calculated values
- VASP energy: -33.05 eV per cell
- DOS at the Fermi energy: 0.000 states/eV per atom


No. 13
Density functional theory data (PBE) for crystalline La3Ir at its relaxed geometry.

```
La3Ir
1.0
4.494 0.000 0.000
0.000 6.902 0.000
0.000 0.000 7.451
La Ir
6 2
Cartesian
1.123 0.049 1.044
1.123 1.726 4.136
1.123 3.402 1.044
3.370 3.500 6.407
3.370 5.177 3.314
3.370 6.853 6.407
1.123 5.177 5.263
3.370 1.726 2.187
```

Calculated values
- VASP energy: -49.63 eV per cell
- DOS at the Fermi energy: 0.918 states/eV per atom
- Energy of formation: -293 meV/atom


No. 14
Density functional theory data (PBE) for crystalline Y2MnRu at its relaxed geometry.

```
Y2MnRu
1.0
0.000 3.440 3.440
3.440 0.000 3.440
3.440 3.440 0.000
Y Mn Ru
2 1 1
Cartesian
0.000 0.000 0.000
1.720 1.720 1.720
3.440 3.440 3.440
5.161 5.161 5.161
```

Calculated values
- VASP energy: -30.53 eV per cell
- DOS at the Fermi energy: 1.136 states/eV per atom
- Energy of formation: 211 meV/atom


No. 15
Density functional theory data (PBE) for crystalline LaBOsRu2 at its relaxed geometry.

```
LaBOsRu2
1.0
4.299 0.000 0.000
0.000 4.299 0.000
0.000 0.000 4.257
La B Os Ru
1 1 1 2
Cartesian
0.000 0.000 0.000
2.149 2.149 2.128
2.149 2.149 0.000
0.000 2.149 2.128
2.149 0.000 2.128
```

Calculated values
- VASP energy: -41.78 eV per cell
- DOS at the Fermi energy: 1.265 states/eV per atom
- Energy of formation: -78 meV/atom


No. 16
Density functional theory data (PBE) for crystalline BaZn3Pt at its relaxed geometry.

```
BaZn3Pt
1.0
4.112 0.000 0.000
0.000 4.112 0.000
0.000 0.000 8.351
Ba Zn Pt
1 3 1
Cartesian
0.000 0.000 0.000
0.000 0.000 3.464
0.000 2.056 5.260
2.056 0.000 5.260
2.056 2.056 6.815
```

Calculated values
- VASP energy: -12.69 eV per cell
- DOS at the Fermi energy: 0.402 states/eV per atom
- Energy of formation: -180 meV/atom


No. 17
Density functional theory data (PBE) for crystalline CdIr2Os2 at its relaxed geometry.

```
CdIr2Os2
1.0
-1.829 1.829 6.390
1.829 -1.829 6.390
1.829 1.829 -6.390
Cd Ir Os
1 2 2
Cartesian
0.000 0.000 0.000
0.000 0.000 5.084
0.000 0.000 7.697
1.829 0.000 3.195
0.000 1.829 3.195
```

Calculated values
- VASP energy: -38.61 eV per cell
- DOS at the Fermi energy: 0.898 states/eV per atom
- Energy of formation: 497 meV/atom


No. 18
Density functional theory data (PBE) for crystalline P5C at its relaxed geometry.

```
P5C
1.0
4.473 0.000 0.000
-2.236 3.874 0.000
0.000 0.000 5.161
P C
5 1
Cartesian
-1.118 1.937 0.000
0.000 2.582 2.580
2.236 0.000 0.000
1.118 1.937 0.000
2.236 1.291 2.580
0.000 0.000 2.580
```

Calculated values
- VASP energy: -27.10 eV per cell
- DOS at the Fermi energy: 0.454 states/eV per atom
- Energy of formation: 1528 meV/atom


No. 19
Density functional theory data (PBE) for crystalline CaGaMo2 at its relaxed geometry.

```
CaGaMo2
1.0
-2.034 2.034 9.882
2.034 -2.034 9.882
2.034 2.034 -9.882
Ca Ga Mo
2 2 4
Cartesian
0.000 0.000 0.000
0.000 2.034 4.941
2.034 0.000 4.941
0.000 0.000 9.882
1.017 1.311 -2.471
2.756 1.017 2.471
1.017 0.723 7.412
-0.723 1.017 12.353
```

Calculated values
- VASP energy: -48.11 eV per cell
- DOS at the Fermi energy: 0.996 states/eV per atom
- Energy of formation: 659 meV/atom


No. 20
Density functional theory data (PBE) for crystalline VSiSe2 at its relaxed geometry.

```
VSiSe2
1.0
-2.918 2.918 5.956
2.918 -2.918 5.956
2.918 2.918 -5.956
V Si Se
2 2 4
Cartesian
0.000 0.000 0.000
0.000 2.918 2.978
2.918 0.000 2.978
0.000 0.000 5.956
4.376 1.370 -1.489
1.370 1.459 1.489
-1.459 1.547 4.467
1.547 1.459 7.446
```

Calculated values
- VASP energy: -42.59 eV per cell
- DOS at the Fermi energy: 0.763 states/eV per atom